# Tb3Pm5Th, relaxed, DFT PBE
data_Tb3Pm5Th
_chemical_formula_sum 'Tb6 Pm10 Th2'
_cell_length_a 11.2750
_cell_length_b 11.2750
_cell_length_c 11.2750
_cell_angle_alpha 138.83
_cell_angle_beta 138.83
_cell_angle_gamma 59.64
_space_group_name_H-M_alt 'P 1'
_space_group_IT_number 1
_space_group_name_Hall 'P 1'
loop_
_atom_site_label
_atom_site_type_symbol
_atom_site_fract_x
_atom_site_fract_y
_atom_site_fract_z
Tb1 Tb 0.1306 0.6306 0.7612
Tb2 Tb 0.2500 0.2500 0.0000
Tb3 Tb 0.3694 0.1306 0.5000
Tb4 Tb 0.6306 0.8694 0.5000
Tb5 Tb 0.7500 0.7500 0.0000
Tb6 Tb 0.8694 0.3694 0.2388
Pm1 Pm 0.0000 0.0000 0.0000
Pm2 Pm 0.0737 0.1607 0.5000
Pm3 Pm 0.1607 0.6607 0.0870
Pm4 Pm 0.3393 0.4263 0.5000
Pm5 Pm 0.4263 0.9263 0.0870
Pm6 Pm 0.5000 0.5000 0.0000
Pm7 Pm 0.5737 0.0737 0.9130
Pm8 Pm 0.6607 0.5737 0.5000
Pm9 Pm 0.8393 0.3393 0.9130
Pm10 Pm 0.9263 0.8393 0.5000
Th1 Th 0.2500 0.7500 0.5000
Th2 Th 0.7500 0.2500 0.5000
# Theoretical density: 7.7 Mg/m³
# Formation enthalpy at 0 K: 0.3041 eV/atom
# Total magnetization: 0.0 μB per cell